*P*
DFT (PBE) results for a relaxed structure of La2PuPb3.

## Properties
Crystal system = tetragonal
M_tot = 0.969 μB/atom

a = 3.609 Å, b = 3.609 Å, c = 13.979 Å
α = 90.00°, β = 90.00°, γ = 90.00°
Atoms (fractional coordinates):
La  0.500  0.500  0.830
Pb  0.000  0.000  0.000
Pb  0.000  0.000  0.339
Pb  0.000  0.000  0.661
La  0.500  0.500  0.170
Pu  0.500  0.500  0.500

---

*Q*
DFT (PBE) results for a relaxed structure of La2PuPb3.

## Properties
Crystal system = orthorhombic
M_tot = 0.932 μB/atom

a = 6.589 Å, b = 10.938 Å, c = 7.096 Å
α = 112.64°, β = 117.66°, γ = 90.00°
Atoms (fractional coordinates):
La  0.675  0.587  0.349
Pb  0.846  0.423  0.693
Pb  0.154  0.077  0.307
Pb  0.846  0.923  0.693
Pb  0.154  0.577  0.307
Pu  0.000  0.750  0.000
Pb  0.500  0.750  0.000
La  0.325  0.413  0.651
Pu  0.000  0.250  0.000
La  0.325  0.913  0.651
La  0.675  0.087  0.349
Pb  0.500  0.250  0.000

---

Least stable structure: *Q*

---

*P*
DFT (PBE) results for a relaxed structure of RbLa3Pb.

## Properties
Crystal system = cubic
M_tot = 0.000 μB/atom

a = 5.662 Å, b = 5.662 Å, c = 5.662 Å
α = 90.00°, β = 90.00°, γ = 90.00°
Atoms (fractional coordinates):
La  0.500  0.000  0.000
Rb  0.000  0.000  0.000
Pb  0.500  0.500  0.500
La  0.000  0.500  0.000
La  0.000  0.000  0.500

---

*Q*
DFT (PBE) results for a relaxed structure of RbLa3Pb.

## Properties
Crystal system = cubic
M_tot = 0.347 μB/atom

a = 6.326 Å, b = 6.326 Å, c = 6.326 Å
α = 90.00°, β = 90.00°, γ = 90.00°
Atoms (fractional coordinates):
Rb  0.500  0.500  0.500
Pb  0.000  0.000  0.000
La  0.000  0.500  0.000
La  0.000  0.000  0.500
La  0.500  0.000  0.000

---

Least stable structure: *P*

---

*P*
DFT (PBE) results for a relaxed structure of La4RhPb2.

## Properties
Crystal system = monoclinic
M_tot = 0.000 μB/atom

a = 6.829 Å, b = 7.086 Å, c = 10.512 Å
α = 90.00°, β = 115.14°, γ = 90.00°
Atoms (fractional coordinates):
La  0.471  0.004  0.257
Pb  0.673  0.750  0.055
La  0.119  0.750  0.897
Pb  0.749  0.750  0.557
La  0.881  0.250  0.103
La  0.529  0.996  0.743
Pb  0.327  0.250  0.945
La  0.084  0.750  0.395
La  0.471  0.496  0.257
Rh  0.120  0.750  0.146
La  0.529  0.504  0.743
La  0.916  0.250  0.605
Pb  0.251  0.250  0.443
Rh  0.880  0.250  0.854

---

*Q*
DFT (PBE) results for a relaxed structure of La4RhPb2.

## Properties
Crystal system = tetragonal
M_tot = 0.000 μB/atom

a = 5.280 Å, b = 5.280 Å, c = 9.576 Å
α = 106.00°, β = 106.00°, γ = 90.00°
Atoms (fractional coordinates):
La  0.000  0.500  0.000
La  0.178  0.178  0.355
Rh  0.000  0.000  0.000
La  0.500  0.000  0.000
Pb  0.362  0.362  0.724
Pb  0.638  0.638  0.276
La  0.822  0.822  0.645

---

Least stable structure: *Q*

---

*P*
DFT (PBE) results for a relaxed structure of LaRhPb3.

## Properties
Crystal system = cubic
M_tot = 0.000 μB/atom

a = 5.981 Å, b = 5.981 Å, c = 5.981 Å
α = 90.00°, β = 90.00°, γ = 90.00°
Atoms (fractional coordinates):
Pb  0.000  0.000  0.500
La  0.000  0.000  0.000
Pb  0.500  0.000  0.000
Pb  0.000  0.500  0.000
Rh  0.500  0.500  0.500

---

*Q*
DFT (PBE) results for a relaxed structure of LaRhPb3.

## Properties
Crystal system = cubic
M_tot = 0.000 μB/atom

a = 5.327 Å, b = 5.327 Å, c = 5.327 Å
α = 90.00°, β = 90.00°, γ = 90.00°
Atoms (fractional coordinates):
Pb  0.500  0.000  0.000
Pb  0.000  0.500  0.000
La  0.500  0.500  0.500
Rh  0.000  0.000  0.000
Pb  0.000  0.000  0.500

---

Least stable structure: *P*